# 1
## AlNi2Mo (PBE)

Data for a relaxed structure of AlNi2Mo.

Cell lengths 4.0695, 2.6289, 4.9999 Å; angles 74.61, 90.00, 90.00 degrees
Closest atoms and distances in Å follow each position.
Element x y z (fractional)
Ni 0.0000 0.1977 0.9807  4 Ni 2.50-2.63, 3 Al 2.58-2.60, 4 Mo 2.58
Ni 0.5000 0.0447 0.2822  3 Mo 2.47-2.69, 4 Ni 2.50-2.63, 4 Al 2.54
Mo 0.5000 0.7914 0.7955  7 Ni 2.47-2.69, 2 Mo 2.63
Al 0.0000 0.4662 0.4417  7 Ni 2.54-2.60, 2 Al 2.63

Computed properties:
mass density = 7.74 g/cm³
total magnetic moment = 0.00 Bohr magnetons per cell
DOS(E_F) = 2.39 states/eV/f.u.
volume = 12.9 A^3/atom
E_form = -24.1 kJ/mol of atoms
SG = Pm

# 2
## AlNi6Mo (PBE)

Data for a relaxed structure of AlNi6Mo.

Cell lengths 3.6075, 3.6075, 7.1626 Å; angles 90.00, 90.00, 90.00 degrees
Closest atoms and distances in Å follow each position.
Element x y z (fractional)
Al 0.0000 0.0000 0.0000  12 Ni 2.54-2.55
Ni 0.5000 0.5000 0.0000  8 Ni 2.54, 4 Al 2.55
Ni 0.5000 0.5000 0.5000  8 Ni 2.54, 4 Mo 2.55
Ni 0.5000 0.0000 0.2499  8 Ni 2.54-2.55, 2 Al 2.54, 2 Mo 2.54
Ni 0.5000 0.0000 0.7501  8 Ni 2.54-2.55, 2 Al 2.54, 2 Mo 2.54
Ni 0.0000 0.5000 0.2499  8 Ni 2.54-2.55, 2 Al 2.54, 2 Mo 2.54
Ni 0.0000 0.5000 0.7501  8 Ni 2.54-2.55, 2 Al 2.54, 2 Mo 2.54
Mo 0.0000 0.0000 0.5000  12 Ni 2.54-2.55

Computed properties:
mass density = 8.46 g/cm³
total magnetic moment = 0.00 Bohr magnetons per cell
polymorph energy (0 for the lowest one) = 0 meV/atom
DOS(E_F) = 6.33 states/eV/f.u.
volume = 11.7 A^3/atom
E_form = -24.0 kJ/mol of atoms
SG = P4/mmm